This record from Alexandria describes crystalline SrEuHgRh at its relaxed geometry. The functional is PBE-GGA.

Unit cell a=5.296 b=5.296 c=5.296 alpha=60.00 beta=60.00 gamma=60.00
Site moments in Bohr magnetons follow the coordinates.
Fractional coordinates of all 4 atoms:
Eu 0.250 0.250 0.250  6.83
Hg 0.500 0.500 0.500  0.03
Rh 0.000 0.000 0.000  -0.11
Sr 0.750 0.750 0.750  0.02

Summary:
**SG**: No. 216
**VASP energy**: -5.24 eV/atom
**Total magnetic moment**: 1.79 μB/atom
**ΔH_f (0 K)**: -130 kJ/mol of formula units

This record from Alexandria describes crystalline EuTmHgRh at its relaxed geometry. The functional is PBE-GGA.

Unit cell a=5.096 b=5.096 c=5.096 alpha=60.00 beta=60.00 gamma=60.00
Site moments in Bohr magnetons follow the coordinates.
Fractional coordinates of all 4 atoms:
Hg 0.500 0.500 0.500  0.01
Eu 0.250 0.250 0.250  6.76
Rh 0.000 0.000 0.000  -0.07
Tm 0.750 0.750 0.750  0.04

Summary:
**SG**: No. 216
**VASP energy**: -6.08 eV/atom
**Total magnetic moment**: 1.74 μB/atom
**ΔH_f (0 K)**: -185 kJ/mol of formula units

This record from Alexandria describes crystalline EuYHgRh at its relaxed geometry. The functional is PBE-GGA.

Unit cell a=5.137 b=5.137 c=5.137 alpha=60.00 beta=60.00 gamma=60.00
Site moments in Bohr magnetons follow the coordinates.
Fractional coordinates of all 4 atoms:
Y 0.750 0.750 0.750  0.02
Rh 0.500 0.500 0.500  -0.08
Hg 0.000 0.000 0.000  0.01
Eu 0.250 0.250 0.250  6.76

Summary:
**SG**: No. 216
**VASP energy**: -6.57 eV/atom
**Total magnetic moment**: 1.74 μB/atom
**ΔH_f (0 K)**: -184 kJ/mol of formula units

This record from Alexandria describes crystalline Eu3HgRu at its relaxed geometry. The functional is PBE-GGA.

Unit cell a=5.461 b=5.461 c=5.461 alpha=90.00 beta=90.00 gamma=90.00
Site moments in Bohr magnetons follow the coordinates.
Fractional coordinates of all 5 atoms:
Eu 0.000 0.000 0.500  6.85
Eu 0.000 0.500 0.000  6.85
Eu 0.500 0.000 0.000  6.85
Hg 0.500 0.500 0.500  0.03
Ru 0.000 0.000 0.000  -0.36

Summary:
**SG**: No. 221
**VASP energy**: -8.14 eV/atom
**Total magnetic moment**: 4.27 μB/atom
**ΔH_f (0 K)**: -29 kJ/mol of formula units

Which of these has the lowest ΔH_f (0 K)? EuTmHgRh